[1]
This record from Alexandria describes a geometry-optimized RbBi structure. The functional is PBE-GGA.

Computed properties:
* space group: P4/mmm, No. 123
* V: 38.05 Å³/atom
* energy relative to the elements: -230 meV/atom
* energy above the most stable polymorph in this dataset: 124 meV per atom

a b c (Å): 3.600 3.600 5.872
angles (deg): 90.00 90.00 90.00
Element x y z (fractional)
Rb  0.000  0.000  0.000
Bi  0.500  0.500  0.500


[2]
This record from Alexandria describes a geometry-optimized Au2SI structure. The functional is PBE-GGA.

Computed properties:
* space group: I-42d, No. 122
* uncorrected formation energy: 96 meV per atom
* V: 28.28 Å³/atom
* energy above the most stable polymorph in this dataset: 0 meV per atom

a b c (Å): 6.049 6.049 12.365
angles (deg): 90.00 90.00 90.00
Element x y z (fractional)
Au  0.168  0.250  0.125
Au  0.250  0.668  0.375
Au  0.250  0.832  0.875
Au  0.332  0.250  0.625
Au  0.668  0.750  0.625
Au  0.750  0.168  0.875
Au  0.750  0.332  0.375
Au  0.832  0.750  0.125
S  0.000  0.000  0.000
S  0.000  0.500  0.250
S  0.500  0.000  0.750
S  0.500  0.500  0.500
I  0.000  0.000  0.500
I  0.000  0.500  0.750
I  0.500  0.000  0.250
I  0.500  0.500  0.000


[3]
This record from Alexandria describes a geometry-optimized Rb3HfBr6 structure. The functional is PBE-GGA.

Computed properties:
* space group: Fm-3m, No. 225
* uncorrected formation energy: -1481 meV per atom
* V: 41.16 Å³/atom

a b c (Å): 8.349 8.349 8.349
angles (deg): 60.00 60.00 60.00
Element x y z (fractional)
Rb  0.000  0.000  0.000
Rb  0.250  0.250  0.250
Rb  0.750  0.750  0.750
Hf  0.500  0.500  0.500
Br  0.274  0.274  0.726
Br  0.274  0.726  0.274
Br  0.274  0.726  0.726
Br  0.726  0.274  0.274
Br  0.726  0.274  0.726
Br  0.726  0.726  0.274


[4]
This record from Alexandria describes a geometry-optimized NdCo4Si12 structure. The functional is PBE-GGA.

Computed properties:
* space group: Im-3, No. 204
* uncorrected formation energy: -173 meV per atom
* V: 15.42 Å³/atom

a b c (Å): 6.984 6.984 6.984
angles (deg): 109.47 109.47 109.47
Element x y z (fractional)
Nd  0.000  0.000  0.000
Co  0.000  0.000  0.500
Co  0.000  0.500  0.000
Co  0.500  0.000  0.000
Co  0.500  0.500  0.500
Si  0.174  0.524  0.350
Si  0.174  0.823  0.650
Si  0.177  0.350  0.826
Si  0.350  0.174  0.524
Si  0.350  0.826  0.177
Si  0.476  0.650  0.826
Si  0.524  0.350  0.174
Si  0.650  0.174  0.823
Si  0.650  0.826  0.476
Si  0.823  0.650  0.174
Si  0.826  0.177  0.350
Si  0.826  0.476  0.650


[5]
This record from Alexandria describes a geometry-optimized LiNbSnOs structure. The functional is PBE-GGA.

Computed properties:
* space group: F-43m, No. 216
* V: 16.13 Å³/atom
* energy relative to the elements: -310 meV/atom

a b c (Å): 6.366 6.366 6.366
angles (deg): 90.00 90.00 90.00
Element x y z (fractional)
Li  0.000  0.000  0.000
Li  0.000  0.500  0.500
Li  0.500  0.000  0.500
Li  0.500  0.500  0.000
Nb  0.250  0.250  0.750
Nb  0.250  0.750  0.250
Nb  0.750  0.250  0.250
Nb  0.750  0.750  0.750
Sn  0.250  0.250  0.250
Sn  0.250  0.750  0.750
Sn  0.750  0.250  0.750
Sn  0.750  0.750  0.250
Os  0.000  0.000  0.500
Os  0.000  0.500  0.000
Os  0.500  0.000  0.000
Os  0.500  0.500  0.500


[6]
This record from Alexandria describes a geometry-optimized Ti2CN structure. The functional is PBE-GGA.

Computed properties:
* space group: Fm-3m, No. 225
* uncorrected formation energy: -176 meV per atom
* V: 9.65 Å³/atom
* energy above the most stable polymorph in this dataset: 1118 meV per atom

a b c (Å): 5.364 5.364 5.364
angles (deg): 90.00 90.00 90.00
Element x y z (fractional)
Ti  0.250  0.250  0.250
Ti  0.250  0.250  0.750
Ti  0.250  0.750  0.250
Ti  0.250  0.750  0.750
Ti  0.750  0.250  0.250
Ti  0.750  0.250  0.750
Ti  0.750  0.750  0.250
Ti  0.750  0.750  0.750
C  0.000  0.000  0.000
C  0.000  0.500  0.500
C  0.500  0.000  0.500
C  0.500  0.500  0.000
N  0.000  0.000  0.500
N  0.000  0.500  0.000
N  0.500  0.000  0.000
N  0.500  0.500  0.500